First-principles (GGA-PBE) data for crystalline Dy2Tm2Co at its relaxed geometry, as listed in Alexandria.

Summary:
For the formation energy from the elements, the calculation gives -0.11 eV per atom. The uncorrected energy comes out at -25.82 eV/f.u. The total magnetic moment comes out at 0.00 μB/f.u. The density of states at the Fermi level comes out at 10.958 states/eV/cell.

a = 3.6112 Å, b = 6.3968 Å, c = 12.1791 Å
α = 78.28°, β = 81.47°, γ = 73.60°
With the nearest neighbours (Å) after each atom.
Atoms (fractional coordinates):
Dy (0.6505, 0.3800, 0.3190)  2 Co 2.79
Dy (0.9970, 0.1566, 0.8493)  2 Co 2.89
Dy (0.3495, 0.6200, 0.6810)  2 Co 2.79
Dy (0.0030, 0.8434, 0.1507)  2 Co 2.89
Tm (0.1216, 0.1870, 0.5698)  2 Co 2.71
Tm (0.6956, 0.6936, 0.9153)  1 Co 2.70
Tm (0.8784, 0.8130, 0.4302)  2 Co 2.71
Tm (0.3044, 0.3064, 0.0847)  1 Co 2.70
Co (0.6685, 0.9527, 0.7102)  3 Tm 2.70-2.71, 4 Dy 2.79-2.89
Co (0.3315, 0.0473, 0.2898)  3 Tm 2.70-2.71, 4 Dy 2.79-2.89

First-principles (GGA-PBE) data for crystalline Er3Tm2Tl7 at its relaxed geometry, as listed in Alexandria.

Summary:
For the formation energy from the elements, the calculation gives -0.05 eV per atom. The uncorrected energy comes out at -39.84 eV/f.u. The total magnetic moment comes out at 0.24 μB/f.u. The density of states at the Fermi level comes out at 9.889 states/eV/cell.

a = 5.3332 Å, b = 5.2364 Å, c = 13.1077 Å
α = 101.52°, β = 90.00°, γ = 90.00°
With the nearest neighbours (Å) after each atom.
Atoms (fractional coordinates):
Er (0.5000, 0.5000, 0.0000)  8 Tl 3.31-3.36
Er (0.5000, 0.6513, 0.3026)  6 Tl 3.16-3.29
Er (0.5000, 0.3487, 0.6974)  6 Tl 3.16-3.29
Tm (0.0000, 0.8464, 0.6929)  7 Tl 3.13-3.28
Tm (0.0000, 0.1536, 0.3071)  7 Tl 3.13-3.28
Tl (0.0000, 0.4236, 0.8472)  2 Tl 3.27, 2 Tm 3.28, 4 Er 3.29-3.31
Tl (0.0000, 0.7201, 0.4402)  2 Tl 3.04, 3 Tm 3.13-3.24, 2 Er 3.20
Tl (0.0000, 0.0000, 0.0000)  8 Tl 3.27-3.40
Tl (0.0000, 0.5764, 0.1528)  2 Tl 3.27, 2 Tm 3.28, 4 Er 3.29-3.31
Tl (0.5000, 0.0822, 0.1645)  4 Er 3.16-3.36, 2 Tm 3.24, 2 Tl 3.40
Tl (0.5000, 0.9178, 0.8355)  4 Er 3.16-3.36, 2 Tm 3.24, 2 Tl 3.40
Tl (0.0000, 0.2799, 0.5598)  2 Tl 3.04, 3 Tm 3.13-3.24, 2 Er 3.20

First-principles (GGA-PBE) data for crystalline RbIn2Bi2 at its relaxed geometry, as listed in Alexandria.

Summary:
For the formation energy from the elements, the calculation gives -0.21 eV per atom. The uncorrected energy comes out at -15.27 eV/f.u. The total magnetic moment comes out at 0.00 μB/f.u. The density of states at the Fermi level comes out at 1.178 states/eV/cell.

a = 5.2000 Å, b = 5.2000 Å, c = 7.9556 Å
α = 70.92°, β = 70.92°, γ = 90.00°
With the nearest neighbours (Å) after each atom.
Atoms (fractional coordinates):
Bi (0.3749, 0.3749, 0.2502)  4 In 3.14
Bi (0.6251, 0.6251, 0.7498)  4 In 3.14
Rb (0.0000, 0.0000, 0.0000)  8 Bi 4.08, 8 In 4.38
In (0.7500, 0.2500, 0.5000)  4 Bi 3.14
In (0.2500, 0.7500, 0.5000)  4 Bi 3.14

Which value of formation energy from the elements does entry 1 give?
-0.11 eV per atom